A relaxed BeCo2Pt crystal, computed with PBE.

Lattice parameters (Å, degrees): 2.675 2.675 6.239 90.00 90.00 90.00
Positions (direct):
Be 0.000 0.000 0.000
Co 0.500 0.500 0.204
Co 0.500 0.500 0.796
Pt 0.000 0.000 0.500

Total DFT energy (no corrections) ... -6.15 eV/atom
Crystal system ... tetragonal

***

A relaxed BeCo2Pt crystal, computed with PBE.

Lattice parameters (Å, degrees): 4.762 7.553 2.632 90.00 90.00 90.00
Positions (direct):
Be 0.000 0.000 0.000
Be 0.500 0.500 0.000
Co 0.250 0.250 0.500
Co 0.250 0.750 0.500
Co 0.750 0.250 0.500
Co 0.750 0.750 0.500
Pt 0.000 0.500 0.000
Pt 0.500 0.000 0.000

Total DFT energy (no corrections) ... -6.06 eV/atom
Crystal system ... orthorhombic

***

A relaxed BeCoPt2 crystal, computed with PBE.

Lattice parameters (Å, degrees): 3.885 3.885 6.820 90.00 90.00 90.00
Positions (direct):
Be 0.000 0.000 0.000
Be 0.500 0.500 0.500
Co 0.000 0.000 0.500
Co 0.500 0.500 0.000
Pt 0.000 0.500 0.250
Pt 0.000 0.500 0.750
Pt 0.500 0.000 0.250
Pt 0.500 0.000 0.750

Total DFT energy (no corrections) ... -6.02 eV/atom
Crystal system ... tetragonal

***

A relaxed BeCoPt2 crystal, computed with PBE.

Lattice parameters (Å, degrees): 8.514 2.740 4.700 90.00 106.89 90.00
Positions (direct):
Be 0.000 0.000 0.000
Be 0.500 0.500 0.000
Co 0.000 0.500 0.500
Co 0.500 0.000 0.500
Pt 0.229 0.500 0.238
Pt 0.271 0.000 0.762
Pt 0.729 0.000 0.238
Pt 0.771 0.500 0.762

Total DFT energy (no corrections) ... -5.91 eV/atom
Crystal system ... monoclinic

***

- Among the records above, which one has the highest total DFT energy (no corrections)?
  number 4

***

- The highest total DFT energy (no corrections) belongs to which entry?
  number 4